No. 1
Li3Hg9Pb | GGA-PBE | relaxed

abc: 6.1198 7.6202 7.6366
angles: 80.75 66.38 66.34
Last column: nearest neighbours and their distance in Å.
Fractional positions:
Li (0.5000, 0.5000, 0.0000)  10 Hg 2.89-3.13
Li (0.0000, 0.0000, 0.5000)  8 Hg 2.82-2.97, 2 Li 3.06
Li (0.5000, 0.0000, 0.5000)  8 Hg 2.82-2.97, 2 Li 3.06
Hg (0.6911, 0.7900, 0.7807)  3 Li 2.82-2.97, 4 Hg 2.95-3.12
Hg (0.3089, 0.2100, 0.2193)  3 Li 2.82-2.97, 4 Hg 2.95-3.12
Hg (0.5282, 0.2100, 0.7807)  3 Li 2.82-2.97, 4 Hg 2.95-3.12
Hg (0.4718, 0.7900, 0.2193)  3 Li 2.82-2.97, 4 Hg 2.95-3.12
Hg (0.6624, 0.3269, 0.3502)  3 Li 2.94-3.13, 4 Hg 3.12-3.20
Hg (0.3376, 0.6731, 0.6498)  3 Li 2.94-3.13, 4 Hg 3.12-3.20
Hg (0.9874, 0.6731, 0.3502)  3 Li 2.94-3.13, 4 Hg 3.12-3.20
Hg (0.0126, 0.3269, 0.6498)  3 Li 2.94-3.13, 4 Hg 3.12-3.20
Hg (0.0000, 0.5000, 0.0000)  8 Hg 3.04-3.13, 2 Li 3.06
Pb (0.0000, 0.0000, 0.0000)  8 Hg 3.35-3.61

* space-group type: C2/m, No. 12
* DOS at the Fermi energy: 4.3 states/eV per cell
* energy relative to the elements: -0.14 eV per atom



No. 2
LiHg2Pb | GGA-PBE | relaxed

abc: 4.5825 4.6806 4.5003
angles: 90.00 90.00 90.00
Last column: nearest neighbours and their distance in Å.
Fractional positions:
Pb (0.0000, 0.5000, 0.5000)  8 Hg 3.21-3.25, 4 Li 3.28
Hg (0.0000, 0.0000, 0.0000)  4 Li 3.21, 4 Pb 3.25, 4 Hg 3.28
Hg (0.5000, 0.5000, 0.0000)  4 Pb 3.21, 4 Li 3.25, 4 Hg 3.28
Li (0.5000, 0.0000, 0.5000)  8 Hg 3.21-3.25, 4 Pb 3.28

* space-group type: Pmmm, No. 47
* DOS at the Fermi energy: 1.8 states/eV per cell
* energy relative to the elements: -0.13 eV per atom



No. 3
Li3HgPb3 | GGA-PBE | relaxed

abc: 6.8994 6.8994 6.7729
angles: 90.00 90.00 85.88
Last column: nearest neighbours and their distance in Å.
Fractional positions:
Li (0.0000, 0.0000, 0.7617)  2 Hg 2.81, 2 Pb 3.02
Li (0.5000, 0.0000, 0.2371)  2 Hg 2.85-2.86, 6 Pb 2.95-3.11
Li (0.0000, 0.5000, 0.2371)  2 Hg 2.85-2.86, 6 Pb 2.95-3.11
Li (0.5000, 0.0000, 0.7629)  2 Hg 2.85-2.86, 6 Pb 2.95-3.11
Li (0.0000, 0.5000, 0.7629)  2 Hg 2.85-2.86, 6 Pb 2.95-3.11
Li (0.0000, 0.0000, 0.2383)  2 Hg 2.81, 2 Pb 3.02
Hg (0.2282, 0.2282, 0.0000)  6 Li 2.81-2.86
Hg (0.7718, 0.7718, 0.0000)  6 Li 2.81-2.86
Pb (0.2415, 0.2415, 0.5000)  6 Li 2.95-3.02, 2 Pb 3.27
Pb (0.2908, 0.7092, 0.5000)  6 Li 3.11-3.26, 4 Pb 3.27-3.39
Pb (0.7092, 0.2908, 0.5000)  6 Li 3.11-3.26, 4 Pb 3.27-3.39
Pb (0.3157, 0.6843, 0.0000)  6 Li 3.06-3.38, 2 Hg 3.25, 2 Pb 3.39
Pb (0.6843, 0.3157, 0.0000)  6 Li 3.06-3.38, 2 Hg 3.25, 2 Pb 3.39
Pb (0.7585, 0.7585, 0.5000)  6 Li 2.95-3.02, 2 Pb 3.27

* space-group type: Cmmm, No. 65
* DOS at the Fermi energy: 5.0 states/eV per cell
* energy relative to the elements: -0.21 eV per atom



No. 4
LiHg4Pb15 | GGA-PBE | relaxed

abc: 4.8113 4.8113 25.4642
angles: 90.00 90.00 90.00
Last column: nearest neighbours and their distance in Å.
Fractional positions:
Li (0.0000, 0.0000, 0.0000)  12 Pb 3.40-3.43
Hg (0.0000, 0.0000, 0.1990)  12 Pb 3.40-3.56
Hg (0.0000, 0.0000, 0.4000)  12 Pb 3.40-3.52
Hg (0.0000, 0.0000, 0.6000)  12 Pb 3.40-3.52
Hg (0.0000, 0.0000, 0.8010)  12 Pb 3.40-3.56
Pb (0.5000, 0.5000, 0.0000)  4 Li 3.40, 8 Pb 3.43
Pb (0.5000, 0.5000, 0.1966)  4 Hg 3.40, 8 Pb 3.52-3.55
Pb (0.5000, 0.5000, 0.3998)  4 Hg 3.40, 8 Pb 3.51
Pb (0.5000, 0.5000, 0.6002)  4 Hg 3.40, 8 Pb 3.51
Pb (0.5000, 0.5000, 0.8034)  4 Hg 3.40, 8 Pb 3.52-3.55
Pb (0.5000, 0.0000, 0.0958)  8 Pb 3.40-3.52, 2 Li 3.43, 2 Hg 3.56
Pb (0.5000, 0.0000, 0.2991)  8 Pb 3.40-3.55, 4 Hg 3.51-3.52
Pb (0.5000, 0.0000, 0.5000)  8 Pb 3.40-3.51, 4 Hg 3.50
Pb (0.5000, 0.0000, 0.7009)  8 Pb 3.40-3.55, 4 Hg 3.51-3.52
Pb (0.5000, 0.0000, 0.9042)  8 Pb 3.40-3.52, 2 Li 3.43, 2 Hg 3.56
Pb (0.0000, 0.5000, 0.0958)  8 Pb 3.40-3.52, 2 Li 3.43, 2 Hg 3.56
Pb (0.0000, 0.5000, 0.2991)  8 Pb 3.40-3.55, 4 Hg 3.51-3.52
Pb (0.0000, 0.5000, 0.5000)  8 Pb 3.40-3.51, 4 Hg 3.50
Pb (0.0000, 0.5000, 0.7009)  8 Pb 3.40-3.55, 4 Hg 3.51-3.52
Pb (0.0000, 0.5000, 0.9042)  8 Pb 3.40-3.52, 2 Li 3.43, 2 Hg 3.56

* space-group type: P4/mmm, No. 123
* DOS at the Fermi energy: 4.9 states/eV per cell
* energy relative to the elements: -0.02 eV per atom



No. 5
Li4HgPb | GGA-PBE | relaxed

abc: 5.4730 5.4730 5.4730
angles: 60.00 60.00 60.00
Last column: nearest neighbours and their distance in Å.
Fractional positions:
Li (0.8744, 0.3752, 0.3752)  6 Li 2.73-2.74
Li (0.3752, 0.3752, 0.8744)  6 Li 2.73-2.74
Li (0.3752, 0.8744, 0.3752)  6 Li 2.73-2.74
Li (0.3752, 0.3752, 0.3752)  6 Li 2.73-2.74
Hg (0.0000, 0.0000, 0.0000)  12 Li 3.21, 4 Pb 3.35
Pb (0.7500, 0.7500, 0.7500)  12 Li 3.21, 4 Hg 3.35

* space-group type: F-43m, No. 216
* DOS at the Fermi energy: 2.3 states/eV per cell
* distance to the lowest polymorph of the same formula: 169 meV per atom
* energy relative to the elements: -0.13 eV per atom



No. 6
Li3Hg5Pb | GGA-PBE | relaxed

abc: 6.2216 8.5980 8.5969
angles: 120.00 90.00 90.00
Last column: nearest neighbours and their distance in Å.
Fractional positions:
Li (0.7500, 0.3412, 0.3413)  3 Hg 2.76-2.92
Li (0.7500, 0.9999, 0.6587)  3 Hg 2.76-2.92
Li (0.7500, 0.6587, 0.0000)  3 Hg 2.76-2.92
Li (0.2500, 0.6588, 0.6587)  3 Hg 2.76-2.92
Li (0.2500, 0.0001, 0.3413)  3 Hg 2.76-2.92
Li (0.2500, 0.3413, 0.0000)  3 Hg 2.76-2.92
Hg (0.0000, 0.6667, 0.3333)  8 Hg 3.11-3.25, 6 Li 3.23
Hg (0.5000, 0.3333, 0.6667)  8 Hg 3.11-3.25, 6 Li 3.23
Hg (0.0000, 0.3333, 0.6667)  8 Hg 3.11-3.25, 6 Li 3.23
Hg (0.5000, 0.6667, 0.3333)  8 Hg 3.11-3.25, 6 Li 3.23
Hg (0.7500, 0.6628, 0.6628)  3 Li 2.76-2.92
Hg (0.7500, 0.0000, 0.3372)  3 Li 2.76-2.92
Hg (0.7500, 0.3371, 0.0000)  3 Li 2.76-2.92
Hg (0.2500, 0.3372, 0.3372)  3 Li 2.76-2.92
Hg (0.2500, 0.0000, 0.6628)  3 Li 2.76-2.92
Hg (0.2500, 0.6629, 0.0000)  3 Li 2.76-2.92
Pb (0.0000, 0.0000, 0.0000)  2 Pb 3.11, 6 Hg 3.29, 6 Li 3.32
Pb (0.5000, 0.0000, 0.0000)  2 Pb 3.11, 6 Hg 3.29, 6 Li 3.32

* space-group type: P6_3/mcm, No. 193
* DOS at the Fermi energy: 5.3 states/eV per cell
* energy relative to the elements: -0.23 eV per atom



No. 7
Li4HgPb5 | GGA-PBE | relaxed

abc: 4.9664 6.3283 8.6972
angles: 111.37 106.59 90.00
Last column: nearest neighbours and their distance in Å.
Fractional positions:
Li (0.6946, 0.2702, 0.3891)  7 Pb 3.01-3.24, 1 Hg 3.04
Li (0.0909, 0.8552, 0.1817)  8 Pb 3.13-3.31, 2 Hg 3.22
Li (0.3054, 0.7298, 0.6109)  7 Pb 3.01-3.24, 1 Hg 3.04
Li (0.9091, 0.1448, 0.8183)  8 Pb 3.13-3.31, 2 Hg 3.22
Hg (0.5000, 0.0000, 0.0000)  6 Li 3.04-3.22, 2 Pb 3.16
Pb (0.2882, 0.2019, 0.5764)  7 Li 3.05-3.30, 1 Pb 3.31
Pb (0.1129, 0.3684, 0.2258)  6 Li 3.01-3.24
Pb (0.8871, 0.6316, 0.7742)  6 Li 3.01-3.24
Pb (0.5000, 0.5000, 0.0000)  2 Hg 3.16, 4 Li 3.31, 6 Pb 3.31-3.40
Pb (0.7118, 0.7981, 0.4236)  7 Li 3.05-3.30, 1 Pb 3.31

* space-group type: C2/m, No. 12
* DOS at the Fermi energy: 4.1 states/eV per cell
* energy relative to the elements: -0.19 eV per atom



No. 8
Li4Hg2Pb3 | GGA-PBE | relaxed

abc: 4.9425 4.9963 9.3711
angles: 89.92 90.83 59.71
Last column: nearest neighbours and their distance in Å.
Fractional positions:
Li (0.6626, 0.6692, 0.8957)  4 Hg 2.82-3.00, 4 Pb 2.99-3.04
Li (0.0046, 0.9967, 0.3190)  4 Pb 2.99-3.04, 3 Hg 3.08-3.10
Li (0.9954, 0.0033, 0.6810)  4 Pb 2.99-3.04, 3 Hg 3.08-3.10
Li (0.3374, 0.3308, 0.1043)  4 Hg 2.82-3.00, 4 Pb 2.99-3.04
Hg (0.3260, 0.3378, 0.8034)  7 Li 2.82-3.10
Hg (0.6740, 0.6622, 0.1966)  7 Li 2.82-3.10
Pb (0.3344, 0.3325, 0.4231)  4 Li 2.99-3.04, 3 Pb 3.20-3.22
Pb (0.0000, 0.0000, 0.0000)  8 Li 2.99-3.04
Pb (0.6656, 0.6675, 0.5769)  4 Li 2.99-3.04, 3 Pb 3.20-3.22

* space-group type: P-1, No. 2
* DOS at the Fermi energy: 3.8 states/eV per cell
* energy relative to the elements: -0.23 eV per atom



> Number 7 is which compound?

Li4HgPb5